No. 1
Compound: Zn2IrW
Source: Alexandria via LeMat-Bulk
Functional: SCAN
Structure: PBEsol geometry

Calculated values
Relative energy among the computed polymorphs   2.25 kcal/mol of atoms
Total magnetization   0.00 μB per formula unit
V   14.0 Å³ per atom

Unit cell a=2.8785 b=4.4403 c=5.1142 alpha=115.73 beta=106.35 gamma=90.00
Element x y z (fractional)
1 Ir 0.4954 0.4954 0.9907
2 W 0.2485 0.7485 0.4970
3 Zn 0.0083 0.0083 0.0167
4 Zn 0.7478 0.2478 0.4956

---

No. 2
Compound: ZrIr2W
Source: Alexandria via LeMat-Bulk
Functional: SCAN
Structure: PBEsol geometry

Calculated values
Relative energy among the computed polymorphs   4.65 kcal/mol of atoms
Total magnetization   0.00 μB per formula unit
V   15.9 Å³ per atom

Unit cell a=2.8023 b=4.8723 c=4.9284 alpha=99.33 beta=90.00 gamma=106.71
Element x y z (fractional)
1 Ir 0.7460 0.4919 0.7306
2 Ir 0.2540 0.5081 0.2694
3 W 0.0000 0.0000 0.5000
4 Zr 0.5000 0.0000 0.0000

---

No. 3
Compound: ZrIr2W
Source: Alexandria via LeMat-Bulk
Functional: SCAN
Structure: PBEsol geometry

Calculated values
Relative energy among the computed polymorphs   0.00 kcal/mol of atoms
Total magnetization   0.00 μB per formula unit
V   16.1 Å³ per atom

Unit cell a=2.8280 b=4.7680 c=4.7680 alpha=90.00 beta=90.00 gamma=90.00
Element x y z (fractional)
1 Ir 0.0000 0.0000 0.5000
2 Ir 0.0000 0.5000 0.0000
3 W 0.5000 0.5000 0.5000
4 Zr 0.5000 0.0000 0.0000

---

No. 4
Compound: Zr2IrW2
Source: Alexandria via LeMat-Bulk
Functional: SCAN
Structure: PBEsol geometry

Calculated values
Energy   -3.9044 Ry/atom
Total magnetization   0.00 μB per formula unit
V   18.7 Å³ per atom

Unit cell a=3.6943 b=3.6943 c=7.3310 alpha=104.59 beta=104.59 gamma=90.00
Element x y z (fractional)
1 Ir 0.0000 0.0000 0.0000
2 W 0.5843 0.5843 0.1685
3 W 0.4157 0.4157 0.8315
4 Zr 0.2500 0.7500 0.5000
5 Zr 0.7500 0.2500 0.5000

---

No. 5
Compound: Y5Ir3
Source: Alexandria via LeMat-Bulk
Functional: SCAN
Structure: PBEsol geometry

Calculated values
Relative energy among the computed polymorphs   0.00 kcal/mol of atoms
Total magnetization   0.00 μB per formula unit
V   22.7 Å³ per atom

Unit cell a=6.2668 b=10.7664 c=10.7664 alpha=90.00 beta=90.00 gamma=90.00
Element x y z (fractional)
1 Ir 0.3736 0.5000 0.0000
2 Ir 0.1264 0.0000 0.5000
3 Ir 0.6264 0.0000 0.5000
4 Ir 0.8736 0.5000 0.0000
5 Ir 0.2500 0.6538 0.3462
6 Ir 0.2500 0.3462 0.6538
7 Ir 0.2500 0.1538 0.1538
8 Ir 0.2500 0.8462 0.8462
9 Ir 0.7500 0.8462 0.1538
10 Ir 0.7500 0.1538 0.8462
11 Ir 0.7500 0.3462 0.3462
12 Ir 0.7500 0.6538 0.6538
13 Y 0.0000 0.0000 0.0000
14 Y 0.0000 0.5000 0.5000
15 Y 0.5000 0.5000 0.5000
16 Y 0.5000 0.0000 0.0000
17 Y 0.1215 0.2913 0.9121
18 Y 0.1215 0.7087 0.0879
19 Y 0.1215 0.5879 0.7913
20 Y 0.1215 0.4121 0.2087
21 Y 0.3785 0.2087 0.4121
22 Y 0.3785 0.7913 0.5879
23 Y 0.3785 0.9121 0.2913
24 Y 0.3785 0.0879 0.7087
25 Y 0.8785 0.2087 0.5879
26 Y 0.8785 0.7913 0.4121
27 Y 0.8785 0.9121 0.7087
28 Y 0.8785 0.0879 0.2913
29 Y 0.6215 0.2913 0.0879
30 Y 0.6215 0.7087 0.9121
31 Y 0.6215 0.5879 0.2087
32 Y 0.6215 0.4121 0.7913

---

No. 6
Compound: Y5Ir3
Source: Alexandria via LeMat-Bulk
Functional: SCAN
Structure: PBEsol geometry

Calculated values
Relative energy among the computed polymorphs   2.06 kcal/mol of atoms
Total magnetization   0.00 μB per formula unit
V   22.1 Å³ per atom

Unit cell a=5.9445 b=8.2705 c=8.2705 alpha=82.58 beta=68.94 gamma=68.94
Element x y z (fractional)
1 Ir 0.2500 0.0000 0.0000
2 Ir 0.7500 0.0000 0.0000
3 Ir 0.8432 0.5000 0.8136
4 Ir 0.1568 0.5000 0.1864
5 Ir 0.3432 0.8136 0.5000
6 Ir 0.6568 0.1864 0.5000
7 Y 0.2500 0.5000 0.5000
8 Y 0.7500 0.5000 0.5000
9 Y 0.9177 0.8722 0.2924
10 Y 0.0823 0.1278 0.7076
11 Y 0.4177 0.2924 0.8722
12 Y 0.5823 0.7076 0.1278
13 Y 0.7101 0.8722 0.7076
14 Y 0.2899 0.1278 0.2924
15 Y 0.7899 0.2924 0.1278
16 Y 0.2101 0.7076 0.8722

---

No. 7
Compound: Y2Ir
Source: Alexandria via LeMat-Bulk
Functional: SCAN
Structure: PBEsol geometry

Calculated values
Energy   -3.1653 Ry/atom
Total magnetization   0.00 μB per formula unit
V   24.4 Å³ per atom

Unit cell a=3.7180 b=6.2804 c=6.5616 alpha=90.00 beta=90.00 gamma=107.22
Element x y z (fractional)
1 Y 0.5147 0.0293 0.2119
2 Y 0.2183 0.4366 0.5234
3 Y 0.4853 0.9707 0.7119
4 Y 0.7817 0.5634 0.0234
5 Ir 0.1172 0.2345 0.9307
6 Ir 0.8828 0.7655 0.4307

---

No. 8
Compound: Y5Ir
Source: Alexandria via LeMat-Bulk
Functional: SCAN
Structure: PBEsol geometry

Calculated values
Relative energy among the computed polymorphs   0.00 kcal/mol of atoms
Total magnetization   0.60 μB per formula unit
V   27.1 Å³ per atom

Unit cell a=3.5855 b=6.2237 c=8.1829 alpha=110.62 beta=90.00 gamma=106.74
Element x y z (fractional)
1 Y 0.1321 0.2641 0.3722
2 Y 0.8355 0.6711 0.2108
3 Y 0.5000 0.0000 0.0000
4 Y 0.1645 0.3289 0.7892
5 Y 0.8679 0.7359 0.6278
6 Ir 0.5000 0.0000 0.5000

---

No. 9
Compound: Y2Ir
Source: Alexandria via LeMat-Bulk
Functional: SCAN
Structure: PBEsol geometry

Calculated values
Energy   -3.1554 Ry/atom
Total magnetization   0.00 μB per formula unit
V   25.3 Å³ per atom

Unit cell a=3.3666 b=3.3666 c=13.6035 alpha=97.11 beta=97.11 gamma=90.00
Element x y z (fractional)
1 Ir 0.2500 0.7500 0.5000
2 Ir 0.0000 0.0000 0.0000
3 Y 0.4387 0.4387 0.8775
4 Y 0.5613 0.5613 0.1225
5 Y 0.6887 0.1887 0.3775
6 Y 0.8113 0.3113 0.6225

---

No. 10
Compound: YIr2
Source: Alexandria via LeMat-Bulk
Functional: SCAN
Structure: PBEsol geometry

Calculated values
Energy   -4.1964 Ry/atom
Total magnetization   0.00 μB per formula unit
V   17.2 Å³ per atom

Unit cell a=2.9333 b=5.4966 c=6.8329 alpha=103.30 beta=90.00 gamma=105.48
Element x y z (fractional)
1 Ir 0.7964 0.5927 0.8609
2 Ir 0.2036 0.4073 0.1391
3 Ir 0.8475 0.6949 0.4832
4 Ir 0.1525 0.3051 0.5168
5 Y 0.4728 0.9455 0.2144
6 Y 0.5272 0.0545 0.7856

---

No. 11
Compound: Y2Ir
Source: Alexandria via LeMat-Bulk
Functional: SCAN
Structure: PBEsol geometry

Calculated values
Energy   -3.1653 Ry/atom
Total magnetization   0.00 μB per formula unit
V   23.2 Å³ per atom

Unit cell a=4.5046 b=7.3165 c=7.3165 alpha=120.00 beta=90.00 gamma=90.00
Element x y z (fractional)
1 Y 0.0000 0.0000 0.2602
2 Y 0.5000 0.0000 0.5887
3 Y 0.0000 0.7398 0.7398
4 Y 0.0000 0.2602 0.0000
5 Y 0.5000 0.4113 0.4113
6 Y 0.5000 0.5887 0.0000
7 Ir 0.5000 0.0000 0.0000
8 Ir 0.0000 0.6667 0.3333
9 Ir 0.0000 0.3333 0.6667

---

No. 12
Compound: Y2Ir
Source: Alexandria via LeMat-Bulk
Functional: SCAN
Structure: PBEsol geometry

Calculated values
Energy   -3.1673 Ry/atom
Total magnetization   0.00 μB per formula unit
V   25.8 Å³ per atom

Unit cell a=6.7656 b=6.7656 c=6.7656 alpha=90.00 beta=90.00 gamma=90.00
Element x y z (fractional)
1 Ir 0.0000 0.0000 0.0000
2 Ir 0.5000 0.5000 0.0000
3 Ir 0.5000 0.0000 0.5000
4 Ir 0.0000 0.5000 0.5000
5 Y 0.3331 0.3331 0.3331
6 Y 0.6669 0.6669 0.6669
7 Y 0.8331 0.1669 0.6669
8 Y 0.1669 0.8331 0.3331
9 Y 0.6669 0.8331 0.1669
10 Y 0.3331 0.1669 0.8331
11 Y 0.1669 0.6669 0.8331
12 Y 0.8331 0.3331 0.1669

---

No. 13
Compound: YIr2
Source: Alexandria via LeMat-Bulk
Functional: SCAN
Structure: PBEsol geometry

Calculated values
Energy   -4.1842 Ry/atom
Total magnetization   0.00 μB per formula unit
V   17.2 Å³ per atom

Unit cell a=2.9097 b=2.9097 c=6.4328 alpha=103.07 beta=103.07 gamma=90.00
Element x y z (fractional)
1 Ir 0.6798 0.6798 0.3595
2 Ir 0.3202 0.3202 0.6405
3 Y 0.0000 0.0000 0.0000

---

No. 14
Compound: Y5Ir
Source: Alexandria via LeMat-Bulk
Functional: SCAN
Structure: PBEsol geometry

Calculated values
Relative energy among the computed polymorphs   3.33 kcal/mol of atoms
Total magnetization   0.76 μB per formula unit
V   26.8 Å³ per atom

Unit cell a=3.7789 b=5.2912 c=8.2713 alpha=90.00 beta=103.21 gamma=90.00
Element x y z (fractional)
1 Ir 0.5000 0.0000 0.0000
2 Y 0.3315 0.5000 0.6630
3 Y 0.1296 0.0000 0.2593
4 Y 0.0000 0.5000 0.0000
5 Y 0.8704 0.0000 0.7407
6 Y 0.6685 0.5000 0.3370

---

No. 15
Compound: YIr2
Source: Alexandria via LeMat-Bulk
Functional: SCAN
Structure: PBEsol geometry

Calculated values
Energy   -4.1846 Ry/atom
Total magnetization   0.00 μB per formula unit
V   17.2 Å³ per atom

Unit cell a=2.9756 b=4.6512 c=7.6157 alpha=90.00 beta=101.27 gamma=90.00
Element x y z (fractional)
1 Ir 0.7282 0.7500 0.4564
2 Ir 0.9257 0.2500 0.8515
3 Ir 0.0743 0.7500 0.1485
4 Ir 0.2718 0.2500 0.5436
5 Y 0.4021 0.7500 0.8041
6 Y 0.5979 0.2500 0.1959

---

No. 16
Compound: Y2Ir
Source: Alexandria via LeMat-Bulk
Functional: SCAN
Structure: PBEsol geometry

Calculated values
Energy   -3.1688 Ry/atom
Total magnetization   0.00 μB per formula unit
V   25.1 Å³ per atom

Unit cell a=4.7409 b=4.7409 c=4.7409 alpha=60.00 beta=60.00 gamma=60.00
Element x y z (fractional)
1 Y 0.7500 0.7500 0.7500
2 Y 0.2500 0.2500 0.2500
3 Ir 0.0000 0.0000 0.0000

---

No. 17
Compound: YIr2
Source: Alexandria via LeMat-Bulk
Functional: SCAN
Structure: PBEsol geometry

Calculated values
Energy   -4.2389 Ry/atom
Total magnetization   0.00 μB per formula unit
V   17.5 Å³ per atom

Unit cell a=5.2965 b=5.2965 c=5.2965 alpha=60.00 beta=60.00 gamma=60.00
Element x y z (fractional)
1 Y 0.0000 0.0000 0.0000
2 Y 0.2500 0.2500 0.2500
3 Ir 0.1250 0.6250 0.6250
4 Ir 0.6250 0.6250 0.6250
5 Ir 0.6250 0.6250 0.1250
6 Ir 0.6250 0.1250 0.6250

---

No. 18
Compound: YIr2
Source: Alexandria via LeMat-Bulk
Functional: SCAN
Structure: PBEsol geometry

Calculated values
Energy   -4.1463 Ry/atom
Total magnetization   0.00 μB per formula unit
V   16.8 Å³ per atom

Unit cell a=2.8506 b=2.8506 c=7.1508 alpha=90.00 beta=90.00 gamma=120.00
Element x y z (fractional)
1 Ir 0.6667 0.3333 0.3486
2 Ir 0.3333 0.6667 0.6514
3 Y 0.0000 0.0000 0.0000

---

No. 19
Compound: YIr2
Source: Alexandria via LeMat-Bulk
Functional: SCAN
Structure: PBEsol geometry

Calculated values
Energy   -4.1849 Ry/atom
Total magnetization   0.00 μB per formula unit
V   17.3 Å³ per atom

Unit cell a=2.9087 b=5.8521 c=6.4547 alpha=104.15 beta=103.02 gamma=90.00
Element x y z (fractional)
1 Ir 0.4932 0.2784 0.9864
2 Ir 0.8305 0.4109 0.6609
3 Ir 0.1695 0.5891 0.3391
4 Ir 0.5068 0.7216 0.0136
5 Y 0.1482 0.0969 0.2964
6 Y 0.8518 0.9031 0.7036

---

No. 20
Compound: Y2Ir
Source: Alexandria via LeMat-Bulk
Functional: SCAN
Structure: PBEsol geometry

Calculated values
Energy   -3.1205 Ry/atom
Total magnetization   0.00 μB per formula unit
V   20.2 Å³ per atom

Unit cell a=3.0455 b=4.7946 c=4.7946 alpha=120.00 beta=90.00 gamma=90.00
Element x y z (fractional)
1 Ir 0.5000 0.0000 0.0000
2 Y 0.0000 0.3333 0.6667
3 Y 0.0000 0.6667 0.3333